# Ce12Ru6Au

A geometry-optimized Ce12Ru6Au structure (PBE, Alexandria via LeMat-Bulk).

POSCAR file:
```
Ce12Ru6Au
1.0
6.9901 4.0358 2.7252
-6.9901 4.0358 2.7252
0.0000 -8.0715 2.7252
Ce Ru Au
12 6 1
direct
0.0000 0.3867 0.6133
0.0000 0.6133 0.3867
0.1240 0.1240 0.3879
0.1240 0.3879 0.1240
0.3867 0.0000 0.6133
0.3867 0.6133 0.0000
0.3879 0.1240 0.1240
0.6121 0.8760 0.8760
0.6133 0.0000 0.3867
0.6133 0.3867 0.0000
0.8760 0.6121 0.8760
0.8760 0.8760 0.6121
0.1831 0.7982 0.7982
0.2018 0.2018 0.8169
0.2018 0.8169 0.2018
0.7982 0.1831 0.7982
0.7982 0.7982 0.1831
0.8169 0.2018 0.2018
0.5000 0.5000 0.5000
```

Values from the calculation:
**Total moment**: 0.27 μB/atom
**Symmetry**: No. 166
**ρ**: 8.945 g cm⁻³
**VASP energy**: -6.9607 eV/atom
**Crystal system**: trigonal
**Energy relative to the elements**: -111 meV per atom